! PBE KMnNbOs2, relaxed; values from VASP
! Crystal system   tetragonal
! Size of the total moment   0.93 μB per atom
! Formation energy   1661.2 meV per atom
! Density of states at the Fermi level   4.63 states/eV per cell
&SYSTEM
  ibrav = 0, nat = 5, ntyp = 4
/
ATOMIC_SPECIES
Os 190.23 Os.upf
Mn 54.94 Mn.upf
Nb 92.91 Nb.upf
K 39.10 K.upf
CELL_PARAMETERS angstrom
-3.093 -3.704 0.512
0.965 -0.113 5.009
-3.625 3.133 0.769
ATOMIC_POSITIONS angstrom
Os -1.547 -1.852 0.256
Os -1.812 1.567 0.384
Mn 0.482 -0.056 2.504
Nb 0.000 0.000 0.000
K -2.876 -0.342 3.145